[1]
Computed, not measured: a geometry-optimized CaLa2PbS structure at the PBE-GGA level of DFT.

Summary:
* uncorrected formation energy: -0.990 eV/atom

Lattice parameters (Å, degrees): 5.528 5.528 5.274 90.00 90.00 90.00
Space group P4/mmm (No. 123)
Unique sites:
Ca (0.000, 0.000, 0.000)
La (0.000, 0.500, 0.500)
Pb (0.500, 0.500, 0.000)
S (0.000, 0.000, 0.500)

=====

[2]
Computed, not measured: a geometry-optimized Ca2LaPbS structure at the PBE-GGA level of DFT.

Summary:
* offset from the most stable computed form: 0.00 eV/f.u.
* uncorrected formation energy: -1.014 eV/atom

Lattice parameters (Å, degrees): 5.303 5.303 5.570 90.00 90.00 90.00
Space group P4/mmm (No. 123)
Unique sites:
Ca (0.000, 0.500, 0.000)
La (0.000, 0.000, 0.500)
Pb (0.500, 0.500, 0.500)
S (0.000, 0.000, 0.000)

=====

[3]
Computed, not measured: a geometry-optimized CaLaSb2Pb structure at the PBE-GGA level of DFT.

Summary:
* uncorrected formation energy: 0.334 eV/atom

Lattice parameters (Å, degrees): 5.631 5.631 5.778 90.00 90.00 90.00
Space group P4/mmm (No. 123)
Unique sites:
Ca (0.000, 0.000, 0.000)
La (0.000, 0.000, 0.500)
Sb (0.000, 0.500, 0.000)
Pb (0.500, 0.500, 0.500)

=====

[4]
Computed, not measured: a geometry-optimized CaLaPb2Se structure at the PBE-GGA level of DFT.

Summary:
* offset from the most stable computed form: 4.17 eV/f.u.
* uncorrected formation energy: 0.692 eV/atom

Lattice parameters (Å, degrees): 5.986 5.986 6.476 90.00 90.00 90.00
Space group P4/mmm (No. 123)
Unique sites:
Ca (0.000, 0.000, 0.000)
La (0.000, 0.000, 0.500)
Pb (0.000, 0.500, 0.500)
Se (0.500, 0.500, 0.000)

=====

[5]
Computed, not measured: a geometry-optimized CaLaPb2Se structure at the PBE-GGA level of DFT.

Summary:
* offset from the most stable computed form: 0.00 eV/f.u.
* uncorrected formation energy: -0.143 eV/atom

Lattice parameters (Å, degrees): 5.729 5.729 5.296 90.00 90.00 90.00
Space group P4/mmm (No. 123)
Unique sites:
Ca (0.000, 0.000, 0.000)
La (0.500, 0.500, 0.500)
Pb (0.000, 0.500, 0.000)
Se (0.000, 0.000, 0.500)

=====

[6]
Computed, not measured: a geometry-optimized CaLaSnPb structure at the PBE-GGA level of DFT.

Summary:
* formation energy: -0.615 eV per atom

Lattice parameters (Å, degrees): 4.548 5.154 5.187 90.00 90.00 90.00
Space group Pmmm (No. 47)
Unique sites:
Ca (0.000, 0.000, 0.000)
La (0.000, 0.500, 0.500)
Sn (0.500, 0.000, 0.500)
Pb (0.500, 0.500, 0.000)

=====

[7]
Computed, not measured: a geometry-optimized CaLa2TiPb structure at the PBE-GGA level of DFT.

Summary:
* formation energy: 0.154 eV per atom

Lattice parameters (Å, degrees): 5.495 5.495 5.599 90.00 90.00 90.00
Space group P4/mmm (No. 123)
Unique sites:
Ca (0.000, 0.000, 0.000)
La (0.000, 0.500, 0.500)
Ti (0.500, 0.500, 0.500)
Pb (0.500, 0.500, 0.000)

=====

[8]
Computed, not measured: a geometry-optimized Ca2LaYPb structure at the PBE-GGA level of DFT.

Summary:
* formation energy: 0.224 eV per atom

Lattice parameters (Å, degrees): 5.922 5.922 6.247 90.00 90.00 90.00
Space group P4/mmm (No. 123)
Unique sites:
Ca (0.000, 0.500, 0.000)
La (0.000, 0.000, 0.500)
Y (0.500, 0.500, 0.500)
Pb (0.000, 0.000, 0.000)

=====

[9]
Computed, not measured: a geometry-optimized CaLa2ZrPb structure at the PBE-GGA level of DFT.

Summary:
* formation energy: 1.002 eV per atom

Lattice parameters (Å, degrees): 5.561 5.561 5.612 90.00 90.00 90.00
Space group P4/mmm (No. 123)
Unique sites:
Ca (0.000, 0.000, 0.000)
La (0.000, 0.500, 0.000)
Zr (0.500, 0.500, 0.500)
Pb (0.000, 0.000, 0.500)

=====

[10]
Computed, not measured: a geometry-optimized CaLaPd6 structure at the PBE-GGA level of DFT.

Summary:
* offset from the most stable computed form: 1.33 eV/f.u.
* formation energy: -0.460 eV per atom

Lattice parameters (Å, degrees): 5.344 5.344 5.344 90.00 90.00 90.00
Space group Pm-3 (No. 200)
Unique sites:
Ca (0.000, 0.000, 0.000)
La (0.500, 0.500, 0.500)
Pd (0.000, 0.248, 0.500)

=====

[11]
Computed, not measured: a geometry-optimized CaLaPd structure at the PBE-GGA level of DFT.

Summary:
* offset from the most stable computed form: 0.20 eV/f.u.
* formation energy: -0.467 eV per atom

Lattice parameters (Å, degrees): 5.883 4.842 6.600 90.00 105.50 90.00
Space group P2_1/m (No. 11)
Unique sites:
Ca (0.074, 0.250, 0.297)
La (0.492, 0.250, 0.832)
Pd (0.383, 0.750, 0.580)

=====

[12]
Computed, not measured: a geometry-optimized CaLaPd6 structure at the PBE-GGA level of DFT.

Summary:
* offset from the most stable computed form: 0.00 eV/f.u.
* formation energy: -0.626 eV per atom

Lattice parameters (Å, degrees): 5.9827 5.9827 4.7676 90.00 90.00 120.00
Space group P-6m2 (No. 187)
Unique sites:
Ca (0.0000, 0.0000, 0.0000)
La (0.3333, 0.6667, 0.5000)
Pd (0.3454, 0.1727, 0.5000)
Pd (0.5079, 0.0157, 0.0000)

=====

[13]
Computed, not measured: a geometry-optimized CaLaPd10 structure at the PBE-GGA level of DFT.

Summary:
* formation energy: -0.466 eV per atom

Lattice parameters (Å, degrees): 4.492 5.364 9.290 90.00 90.00 90.00
Space group Pmmm (No. 47)
Unique sites:
Ca (0.000, 0.000, 0.000)
La (0.000, 0.500, 0.500)
Pd (0.000, 0.000, 0.333)
Pd (0.000, 0.500, 0.166)
Pd (0.500, 0.000, 0.500)
Pd (0.500, 0.250, 0.250)
Pd (0.500, 0.500, 0.000)

=====

[14]
Computed, not measured: a geometry-optimized Ca2La3Pd2 structure at the PBE-GGA level of DFT.

Summary:
* formation energy: -0.460 eV per atom

Lattice parameters (Å, degrees): 13.135 4.022 9.457 90.00 117.58 90.00
Space group C2/m (No. 12)
Unique sites:
Ca (0.168, 0.000, 0.311)
La (0.000, 0.500, 0.500)
La (0.119, 0.500, 0.941)
Pd (0.166, 0.000, 0.740)

=====

[15]
Computed, not measured: a geometry-optimized CaLa2Pd structure at the PBE-GGA level of DFT.

Summary:
* offset from the most stable computed form: 0.00 eV/f.u.
* formation energy: -0.405 eV per atom

Lattice parameters (Å, degrees): 7.520 10.399 6.565 90.00 90.00 90.00
Space group Pnma (No. 62)
Unique sites:
Ca (0.033, 0.250, 0.146)
La (0.170, 0.061, 0.670)
Pd (0.116, 0.750, 0.409)

=====

[16]
Computed, not measured: a geometry-optimized Ca2La2Pd3 structure at the PBE-GGA level of DFT.

Summary:
* formation energy: -0.654 eV per atom

Lattice parameters (Å, degrees): 5.119 5.144 8.718 107.05 90.05 119.84
Space group P-1 (No. 2)
Unique sites:
Ca (0.127, 0.255, 0.383)
La (0.377, 0.755, 0.134)
Pd (0.000, 0.000, 0.000)
Pd (0.255, 0.510, 0.763)

=====

[17]
Computed, not measured: a geometry-optimized CaLa2Pd3 structure at the PBE-GGA level of DFT.

Summary:
* formation energy: -0.750 eV per atom

Lattice parameters (Å, degrees): 3.617 3.617 11.048 90.00 90.00 90.00
Space group P4/mmm (No. 123)
Unique sites:
Ca (0.000, 0.000, 0.000)
La (0.000, 0.000, 0.328)
Pd (0.500, 0.500, 0.170)
Pd (0.500, 0.500, 0.500)

=====

[18]
Computed, not measured: a geometry-optimized Ca3LaPd structure at the PBE-GGA level of DFT.

Summary:
* offset from the most stable computed form: 6.54 eV/f.u.
* formation energy: 1.137 eV per atom

Lattice parameters (Å, degrees): 5.621 5.621 5.621 90.00 90.00 90.00
Space group Pm-3m (No. 221)
Unique sites:
Ca (0.000, 0.000, 0.500)
La (0.000, 0.000, 0.000)
Pd (0.500, 0.500, 0.500)

=====

[19]
Computed, not measured: a geometry-optimized CaLa2Pd structure at the PBE-GGA level of DFT.

Summary:
* offset from the most stable computed form: 0.28 eV/f.u.
* formation energy: -0.334 eV per atom

Lattice parameters (Å, degrees): 3.730 3.730 9.578 90.00 90.00 90.00
Space group P4/mmm (No. 123)
Unique sites:
Ca (0.000, 0.000, 0.000)
La (0.500, 0.500, 0.323)
Pd (0.000, 0.000, 0.500)

=====

[20]
Computed, not measured: a geometry-optimized CaLaPd4 structure at the PBE-GGA level of DFT.

Summary:
* formation energy: -0.759 eV per atom

Lattice parameters (Å, degrees): 7.807 7.807 7.807 90.00 90.00 90.00
Space group F-43m (No. 216)
Unique sites:
Ca (0.000, 0.000, 0.000)
La (0.250, 0.250, 0.250)
Pd (0.125, 0.125, 0.625)

=====

| no. | spin magnetization (μB per atom) | calculated volume (A^3/atom) | mass density (g cm⁻³) |
| --- | --- | --- | --- |
| 1 | 0.000 | 32.2 | 5.7 |
| 2 | 0.000 | 31.3 | 4.9 |
| 3 | 0.095 | 36.6 | 5.7 |
| 4 | 0.000 | 46.4 | 4.8 |
| 5 | 0.000 | 34.8 | 6.4 |
| 6 | 0.000 | 30.4 | 6.9 |
| 7 | 0.000 | 33.8 | 5.6 |
| 8 | 0.339 | 43.8 | 3.9 |
| 9 | 0.000 | 34.7 | 5.9 |
| 10 | 0.000 | 19.1 | 8.9 |
| 11 | 0.000 | 30.2 | 5.2 |
| 12 | 0.000 | 18.5 | 9.2 |
| 13 | 0.000 | 18.7 | 9.2 |
| 14 | 0.000 | 31.6 | 5.3 |
| 15 | 0.000 | 32.1 | 5.5 |
| 16 | 0.000 | 26.8 | 6.0 |
| 17 | 0.000 | 24.1 | 7.3 |
| 18 | 0.194 | 35.5 | 3.4 |
| 19 | 0.000 | 33.3 | 5.3 |
| 20 | 0.000 | 19.8 | 8.4 |